Entry a
DyBiAs | PBE | optimized geometry

Computed properties:
- Crystal system: cubic

Cell: 7.1524 7.1524 7.1524 Å, 90.00 90.00 90.00°
Space group F-43m (No. 216)
Inequivalent atoms, fractional coordinates:
Dy  0.0000  0.0000  0.0000 (multiplicity 4)
Bi  0.2500  0.2500  0.2500 (multiplicity 4)
As  0.2500  0.2500  0.7500 (multiplicity 4)

Entry b
DyBiAs | PBE | optimized geometry

Computed properties:
- Crystal system: cubic

Cell: 7.0031 7.0031 7.0031 Å, 90.00 90.00 90.00°
Space group F-43m (No. 216)
Inequivalent atoms, fractional coordinates:
Dy  0.0000  0.0000  0.0000 (multiplicity 4)
Bi  0.0000  0.0000  0.5000 (multiplicity 4)
As  0.2500  0.2500  0.7500 (multiplicity 4)

Verdict on stability: entry b comes out on top.

Entry a
DyBiAsO | PBE | optimized geometry

Computed properties:
- Crystal system: orthorhombic

Cell: 4.9046 6.4447 6.4517 Å, 90.00 90.00 90.00°
Space group Pmc2_1 (No. 26)
Inequivalent atoms, fractional coordinates:
Dy  0.0000  0.1552  0.0000 (multiplicity 2)
Bi  0.5000  0.2467  0.3759 (multiplicity 2)
As  0.5000  0.3110  0.8337 (multiplicity 2)
O  0.0000  0.1332  0.3339 (multiplicity 2)

Entry b
DyBiAsO | PBE | optimized geometry

Computed properties:
- Crystal system: tetragonal

Cell: 4.8612 4.8612 7.3904 Å, 90.00 90.00 90.00°
Space group P4/nmm (No. 129, origin choice 2)
Inequivalent atoms, fractional coordinates:
Dy  0.2500  0.7500  0.0000 (multiplicity 2)
Bi  0.2500  0.2500  0.4242 (multiplicity 2)
As  0.2500  0.2500  0.8125 (multiplicity 2)
O  0.2500  0.7500  0.5000 (multiplicity 2)

Entry c
DyBiAsO | PBE | optimized geometry

Computed properties:
- Crystal system: tetragonal

Cell: 4.2318 4.2318 9.9910 Å, 90.00 90.00 90.00°
Space group P4/nmm (No. 129, origin choice 2)
Inequivalent atoms, fractional coordinates:
Dy  0.2500  0.2500  0.0905 (multiplicity 2)
Bi  0.2500  0.7500  0.5000 (multiplicity 2)
As  0.2500  0.2500  0.7382 (multiplicity 2)
O  0.2500  0.7500  0.0000 (multiplicity 2)

Entry d
DyBiAsO | PBE | optimized geometry

Computed properties:
- Crystal system: orthorhombic

Cell: 3.9357 8.3469 6.1082 Å, 90.00 90.00 90.00°
Space group Pmc2_1 (No. 26)
Inequivalent atoms, fractional coordinates:
Dy  0.0000  0.1592  0.0000 (multiplicity 2)
Bi  0.5000  0.4238  0.5104 (multiplicity 2)
As  0.0000  0.1863  0.5010 (multiplicity 2)
O  0.5000  0.2529  0.0017 (multiplicity 2)

Verdict on stability: entry c comes out on top.

Entry a
GdBiAsO | PBE | optimized geometry

Computed properties:
- Crystal system: orthorhombic

Cell: 4.9331 6.4540 6.4851 Å, 90.00 90.00 90.00°
Space group Pmc2_1 (No. 26)
Inequivalent atoms, fractional coordinates:
Gd  0.0000  0.1616  0.0000 (multiplicity 2)
Bi  0.5000  0.2435  0.3782 (multiplicity 2)
As  0.5000  0.3150  0.8278 (multiplicity 2)
O  0.0000  0.1323  0.3365 (multiplicity 2)

Entry b
GdBiAsO | PBE | optimized geometry

Computed properties:
- Crystal system: tetragonal

Cell: 4.2482 4.2482 10.0104 Å, 90.00 90.00 90.00°
Space group P4/nmm (No. 129, origin choice 2)
Inequivalent atoms, fractional coordinates:
Gd  0.2500  0.2500  0.0946 (multiplicity 2)
Bi  0.2500  0.7500  0.5000 (multiplicity 2)
As  0.2500  0.2500  0.7370 (multiplicity 2)
O  0.2500  0.7500  0.0000 (multiplicity 2)

Entry c
GdBiAsO | PBE | optimized geometry

Computed properties:
- Crystal system: tetragonal

Cell: 4.9006 4.9006 7.4322 Å, 90.00 90.00 90.00°
Space group P4/nmm (No. 129, origin choice 2)
Inequivalent atoms, fractional coordinates:
Gd  0.2500  0.7500  0.0000 (multiplicity 2)
Bi  0.2500  0.2500  0.4275 (multiplicity 2)
As  0.2500  0.2500  0.8114 (multiplicity 2)
O  0.2500  0.7500  0.5000 (multiplicity 2)

Entry d
GdBiAsO | PBE | optimized geometry

Computed properties:
- Crystal system: orthorhombic

Cell: 3.9640 8.3796 6.1515 Å, 90.00 90.00 90.00°
Space group Pmc2_1 (No. 26)
Inequivalent atoms, fractional coordinates:
Gd  0.0000  0.1603  0.0000 (multiplicity 2)
Bi  0.5000  0.4232  0.5100 (multiplicity 2)
As  0.0000  0.1869  0.5009 (multiplicity 2)
O  0.5000  0.2574  0.0011 (multiplicity 2)

Verdict on stability: entry b comes out on top.

Entry a
HfBiAsO | PBE | optimized geometry

Computed properties:
- Crystal system: tetragonal

Cell: 4.3762 4.3762 8.4844 Å, 90.00 90.00 90.00°
Space group P4/nmm (No. 129, origin choice 2)
Inequivalent atoms, fractional coordinates:
Hf  0.2500  0.7500  0.0000 (multiplicity 2)
Bi  0.2500  0.2500  0.3813 (multiplicity 2)
As  0.2500  0.2500  0.8169 (multiplicity 2)
O  0.2500  0.7500  0.5000 (multiplicity 2)

Entry b
HfBiAsO | PBE | optimized geometry

Computed properties:
- Crystal system: orthorhombic

Cell: 3.7412 8.1975 6.3715 Å, 90.00 90.00 90.00°
Space group Pmc2_1 (No. 26)
Inequivalent atoms, fractional coordinates:
Hf  0.0000  0.1280  0.0000 (multiplicity 2)
Bi  0.5000  0.2996  0.5845 (multiplicity 2)
As  0.5000  0.3566  0.0110 (multiplicity 2)
O  0.0000  0.0422  0.2817 (multiplicity 2)

Entry c
HfBiAsO | PBE | optimized geometry

Computed properties:
- Crystal system: tetragonal

Cell: 4.1412 4.1412 9.4106 Å, 90.00 90.00 90.00°
Space group P4/nmm (No. 129, origin choice 2)
Inequivalent atoms, fractional coordinates:
Hf  0.2500  0.2500  0.0791 (multiplicity 2)
Bi  0.2500  0.7500  0.5000 (multiplicity 2)
As  0.2500  0.2500  0.7663 (multiplicity 2)
O  0.2500  0.7500  0.0000 (multiplicity 2)

Verdict on stability: entry b comes out on top.

Entry a
K2Hg2BiAs | PBE | optimized geometry

Computed properties:
- Crystal system: trigonal

Cell: 4.8441 4.8441 10.3843 Å, 90.00 90.00 120.00°
Space group P3m1 (No. 156)
Inequivalent atoms, fractional coordinates:
K  0.0000  0.0000  0.0000 (multiplicity 1)
K  0.0000  0.0000  0.4653 (multiplicity 1)
Hg  0.3333  0.6667  0.2365 (multiplicity 1)
Hg  0.6667  0.3333  0.7649 (multiplicity 1)
Bi  0.3333  0.6667  0.7158 (multiplicity 1)
As  0.6667  0.3333  0.2303 (multiplicity 1)

Entry b
K2Hg2BiAs | PBE | optimized geometry

Computed properties:
- Crystal system: hexagonal

Cell: 4.8736 4.8736 10.3171 Å, 90.00 90.00 120.00°
Space group P-6m2 (No. 187)
Inequivalent atoms, fractional coordinates:
K  0.0000  0.0000  0.2338 (multiplicity 2)
Hg  0.3333  0.6667  0.5000 (multiplicity 1)
Hg  0.6667  0.3333  0.0000 (multiplicity 1)
Bi  0.6667  0.3333  0.5000 (multiplicity 1)
As  0.3333  0.6667  0.0000 (multiplicity 1)

Verdict on stability: entry a comes out on top.

Entry a
NaTcBiAs | PBE | optimized geometry

Computed properties:
- Crystal system: cubic

Cell: 6.7361 6.7361 6.7361 Å, 90.00 90.00 90.00°
Space group F-43m (No. 216)
Inequivalent atoms, fractional coordinates:
Na  0.0000  0.0000  0.0000 (multiplicity 4)
Tc  0.0000  0.0000  0.5000 (multiplicity 4)
Bi  0.2500  0.2500  0.7500 (multiplicity 4)
As  0.2500  0.2500  0.2500 (multiplicity 4)

Entry b
NaTcBiAs | PBE | optimized geometry

Computed properties:
- Crystal system: cubic

Cell: 6.8935 6.8935 6.8935 Å, 90.00 90.00 90.00°
Space group F-43m (No. 216)
Inequivalent atoms, fractional coordinates:
Na  0.0000  0.0000  0.0000 (multiplicity 4)
Tc  0.2500  0.2500  0.2500 (multiplicity 4)
Bi  0.0000  0.0000  0.5000 (multiplicity 4)
As  0.2500  0.2500  0.7500 (multiplicity 4)

Verdict on stability: entry a comes out on top.